(1)
{"formula": "Nd5HoEr12", "functional": "PBE", "state": "optimized geometry", "dos_ef_per_ev_cell": 28.3, "rho_kg_m3": 8371, "m_tot_mub_per_fu": 0.0, "e_form_mev_per_atom": 93, "lattice": [[5.841, -8.593, 0.000], [5.841, 8.593, 0.000], [0.000, 0.000, 5.717]], "species": ["Nd", "Nd", "Nd", "Nd", "Nd", "Ho", "Er", "Er", "Er", "Er", "Er", "Er", "Er", "Er", "Er", "Er", "Er", "Er"], "fractional_positions": [[0.000, 0.000, 0.000], [0.141, 0.859, 0.500], [0.362, 0.638, 0.000], [0.638, 0.362, 0.000], [0.859, 0.141, 0.500], [0.500, 0.500, 0.500], [0.023, 0.666, 0.000], [0.166, 0.520, 0.500], [0.200, 0.200, 0.501], [0.303, 0.303, 0.001], [0.334, 0.977, 0.000], [0.480, 0.834, 0.500], [0.520, 0.166, 0.500], [0.666, 0.023, 0.000], [0.697, 0.697, 0.999], [0.800, 0.800, 0.499], [0.834, 0.480, 0.500], [0.977, 0.334, 0.000]]}


(2)
{"formula": "CaZnGaAg6", "functional": "PBE", "state": "optimized geometry", "dos_ef_per_ev_cell": 7.7, "rho_kg_m3": 7282, "m_tot_mub_per_fu": 0.0, "e_form_mev_per_atom": 27, "lattice": [[-3.677, 4.588, 5.560], [3.677, -4.588, 5.560], [3.677, 4.588, -5.560]], "species": ["Ca", "Ca", "Zn", "Zn", "Ga", "Ga", "Ag", "Ag", "Ag", "Ag", "Ag", "Ag", "Ag", "Ag", "Ag", "Ag", "Ag", "Ag"], "fractional_positions": [[0.454, 0.204, 0.250], [0.546, 0.796, 0.750], [0.000, 0.000, 0.500], [0.000, 0.500, 0.000], [0.000, 0.000, 0.000], [0.500, 0.000, 0.500], [0.129, 0.437, 0.310], [0.129, 0.820, 0.692], [0.161, 0.911, 0.250], [0.252, 0.502, 0.750], [0.373, 0.180, 0.810], [0.373, 0.563, 0.192], [0.627, 0.437, 0.808], [0.627, 0.820, 0.190], [0.748, 0.498, 0.250], [0.839, 0.089, 0.750], [0.871, 0.180, 0.308], [0.871, 0.563, 0.690]]}